A geometry-optimized CuPtRh2 structure. Source: Alexandria, functional PBE.

Summary:
As for the space-group type: Pmm2, No. 25. Its total energy is -6.2282 eV per atom. The formation energy from the elements is -1.76 kJ/mol of atoms. The calculation puts the magnetic moment at 0.00 μB/atom.

Lattice parameters (Å, degrees): 3.8050 2.7426 6.0794 63.18 90.00 90.00
Atoms (fractional coordinates):
Pt: 0.5000 0.7571 0.7431
Cu: 0.0000 0.4996 0.5001
Rh: 0.5000 0.2518 0.2482
Rh: 0.0000 0.9914 0.0086


A geometry-optimized Cu2PtRh structure. Source: Alexandria, functional PBE.

Summary:
As for the space-group type: I4/mmm, No. 139. Its total energy is -5.3915 eV per atom. The formation energy from the elements is 0.45 kJ/mol of atoms. The calculation puts the magnetic moment at 0.17 μB/atom.

Lattice parameters (Å, degrees): 4.5355 4.5355 4.5355 129.30 129.30 74.53
Atoms (fractional coordinates):
Cu: 0.0000 0.0000 0.0000
Cu: 0.5000 0.5000 0.0000
Rh: 0.7500 0.2500 0.5000
Pt: 0.2500 0.7500 0.5000


A geometry-optimized CuPtRh2 structure. Source: Alexandria, functional PBE.

Summary:
As for the space-group type: R-3m, No. 166. Its total energy is -6.1650 eV per atom. The formation energy from the elements is 4.34 kJ/mol of atoms. The calculation puts the magnetic moment at 0.15 μB/atom.

Lattice parameters (Å, degrees): 8.8899 8.8899 8.8899 17.72 17.72 17.72
Atoms (fractional coordinates):
Rh: 0.5034 0.5034 0.5034
Rh: 0.9966 0.9966 0.9966
Cu: 0.2500 0.2500 0.2500
Pt: 0.7500 0.7500 0.7500


A geometry-optimized Cu3PtRh structure. Source: Alexandria, functional PBE.

Summary:
As for the space-group type: Pm-3m, No. 221. Its total energy is -3.8709 eV per atom. The formation energy from the elements is 122.08 kJ/mol of atoms. The calculation puts the magnetic moment at 0.21 μB/atom.

Lattice parameters (Å, degrees): 4.5206 4.5206 4.5206 90.00 90.00 90.00
Atoms (fractional coordinates):
Rh: 0.0000 0.0000 0.0000
Pt: 0.5000 0.5000 0.5000
Cu: 0.0000 0.0000 0.5000
Cu: 0.0000 0.5000 0.0000
Cu: 0.5000 0.0000 0.0000


A geometry-optimized CuPtRh2 structure. Source: Alexandria, functional PBE.

Summary:
As for the space-group type: C2/m, No. 12. Its total energy is -6.0947 eV per atom. The formation energy from the elements is 11.12 kJ/mol of atoms. The calculation puts the magnetic moment at 0.00 μB/atom.

Lattice parameters (Å, degrees): 4.6344 5.3307 2.6963 76.10 88.33 115.30
Atoms (fractional coordinates):
Cu: 0.0000 0.5000 0.5000
Rh: 0.0000 0.0000 0.0000
Rh: 0.5000 0.0000 0.5000
Pt: 0.5000 0.5000 0.0000


A geometry-optimized Cu3Pt6Rh structure. Source: Alexandria, functional PBE.

Summary:
As for the space-group type: P2_1/c, No. 14. Its total energy is -5.4906 eV per atom. The formation energy from the elements is 9.44 kJ/mol of atoms. The calculation puts the magnetic moment at 0.00 μB/atom.

Lattice parameters (Å, degrees): 7.0560 6.1347 7.0306 90.00 88.09 90.00
Atoms (fractional coordinates):
Pt: 0.8457 0.6306 0.5601
Pt: 0.6543 0.1306 0.9399
Pt: 0.6570 0.1196 0.5567
Pt: 0.7996 0.3501 0.2532
Pt: 0.2996 0.1499 0.7532
Pt: 0.1570 0.3804 0.0567
Pt: 0.8430 0.6196 0.9433
Pt: 0.7004 0.8501 0.2468
Pt: 0.2004 0.6499 0.7468
Pt: 0.3457 0.8694 0.0601
Pt: 0.1543 0.3694 0.4399
Pt: 0.3430 0.8804 0.4433
Rh: 0.5000 0.5000 0.5000
Rh: 0.0000 0.0000 0.0000
Cu: 0.0000 0.0000 0.5000
Cu: 0.5587 0.7876 0.7562
Cu: 0.4413 0.2124 0.2438
Cu: 0.5000 0.5000 0.0000
Cu: 0.9413 0.2876 0.7438
Cu: 0.0587 0.7124 0.2562


A geometry-optimized CuPt2Rh8 structure. Source: Alexandria, functional PBE.

Summary:
As for the space-group type: C2/m, No. 12. Its total energy is -6.5278 eV per atom. The formation energy from the elements is 27.92 kJ/mol of atoms. The calculation puts the magnetic moment at 0.00 μB/atom.

Lattice parameters (Å, degrees): 4.6920 6.0250 6.9728 111.28 104.34 101.86
Atoms (fractional coordinates):
Rh: 0.2772 0.5846 0.0000
Rh: 0.8321 0.6752 0.7725
Rh: 0.1679 0.3248 0.2275
Rh: 0.0596 0.9027 0.2275
Rh: 0.7228 0.4154 0.0000
Rh: 0.7086 0.2086 0.4172
Rh: 0.9404 0.0973 0.7725
Rh: 0.2914 0.7914 0.5828
Pt: 0.3070 0.3070 0.6140
Pt: 0.6930 0.6930 0.3860
Cu: 0.5000 0.0000 0.0000


A geometry-optimized Cu2Pt5Rh structure. Source: Alexandria, functional PBE.

Summary:
As for the space-group type: I4/mcm, No. 140. Its total energy is -5.6005 eV per atom. The formation energy from the elements is 11.38 kJ/mol of atoms. The calculation puts the magnetic moment at 0.00 μB/atom.

Lattice parameters (Å, degrees): 6.6426 6.6426 7.1869 117.52 117.52 90.00
Atoms (fractional coordinates):
Pt: 0.5000 0.5000 0.0000
Pt: 0.0000 0.0000 0.0000
Pt: 0.4956 0.6885 0.6841
Pt: 0.1885 0.9956 0.6841
Pt: 0.8115 0.0044 0.3159
Pt: 0.3115 0.8115 0.3159
Pt: 0.9956 0.4956 0.6841
Pt: 0.6885 0.1885 0.6841
Pt: 0.5044 0.3115 0.3159
Pt: 0.0044 0.5044 0.3159
Cu: 0.6405 0.1405 0.0000
Cu: 0.3595 0.8595 0.0000
Cu: 0.1405 0.3595 0.0000
Cu: 0.8595 0.6405 0.0000
Rh: 0.7500 0.7500 0.5000
Rh: 0.2500 0.2500 0.5000


A geometry-optimized Cu4Pt7Rh structure. Source: Alexandria, functional PBE.

Summary:
As for the space-group type: P-3m1, No. 164. Its total energy is -5.6064 eV per atom. The formation energy from the elements is -10.09 kJ/mol of atoms. The calculation puts the magnetic moment at 0.00 μB/atom.

Lattice parameters (Å, degrees): 2.7491 2.7491 26.5773 90.00 90.00 120.00
Atoms (fractional coordinates):
Pt: 0.0000 0.0000 0.0000
Pt: 0.3333 0.6667 0.1615
Pt: 0.6667 0.3333 0.8385
Pt: 0.6667 0.3333 0.5859
Pt: 0.0000 0.0000 0.2531
Pt: 0.3333 0.6667 0.4141
Pt: 0.0000 0.0000 0.7469
Cu: 0.6667 0.3333 0.3335
Cu: 0.3333 0.6667 0.6665
Cu: 0.3333 0.6667 0.9189
Cu: 0.6667 0.3333 0.0811
Rh: 0.0000 0.0000 0.5000


A geometry-optimized Cu2Pt3Rh structure. Source: Alexandria, functional PBE.

Summary:
As for the space-group type: P4/mmm, No. 123. Its total energy is -5.7059 eV per atom. The formation energy from the elements is -9.16 kJ/mol of atoms. The calculation puts the magnetic moment at 0.16 μB/atom.

Lattice parameters (Å, degrees): 2.7654 2.7654 11.2106 90.00 90.00 90.00
Atoms (fractional coordinates):
Pt: 0.0000 0.0000 0.0000
Pt: 0.0000 0.0000 0.3266
Pt: 0.0000 0.0000 0.6734
Cu: 0.5000 0.5000 0.1624
Cu: 0.5000 0.5000 0.8376
Rh: 0.5000 0.5000 0.5000


A geometry-optimized CuPt4Rh structure. Source: Alexandria, functional PBE.

Summary:
As for the space-group type: Cmmm, No. 65. Its total energy is -4.9471 eV per atom. The formation energy from the elements is 95.33 kJ/mol of atoms. The calculation puts the magnetic moment at 0.24 μB/atom.

Lattice parameters (Å, degrees): 4.2046 5.3242 5.3242 90.14 90.00 90.00
Atoms (fractional coordinates):
Rh: 0.5000 0.0000 0.0000
Pt: 0.5000 0.6738 0.3262
Pt: 0.0000 0.8165 0.8165
Pt: 0.0000 0.1835 0.1835
Pt: 0.5000 0.3262 0.6738
Cu: 0.0000 0.5000 0.5000


A geometry-optimized CuPt3Rh4 structure. Source: Alexandria, functional PBE.

Summary:
As for the space-group type: Imm2, No. 44. Its total energy is -6.2536 eV per atom. The formation energy from the elements is 19.24 kJ/mol of atoms. The calculation puts the magnetic moment at 0.00 μB/atom.

Lattice parameters (Å, degrees): 5.7450 5.7450 5.7450 80.73 125.86 125.11
Atoms (fractional coordinates):
Pt: 0.9550 0.7416 0.6966
Pt: 0.9550 0.2584 0.2134
Pt: 0.2078 0.0000 0.2078
Rh: 0.4592 0.7501 0.7091
Rh: 0.4581 0.2536 0.7117
Rh: 0.4581 0.7464 0.2045
Rh: 0.9590 0.2499 0.7091
Cu: 0.6988 0.5000 0.1988


A geometry-optimized CuPt4Rh structure. Source: Alexandria, functional PBE.

Summary:
As for the space-group type: P-1, No. 2. Its total energy is -5.9271 eV per atom. The formation energy from the elements is 0.78 kJ/mol of atoms. The calculation puts the magnetic moment at 0.00 μB/atom.

Lattice parameters (Å, degrees): 7.0246 5.1846 7.9011 107.57 50.96 78.90
Atoms (fractional coordinates):
Pt: 0.9355 0.2109 0.3661
Pt: 0.4027 0.9046 0.2579
Pt: 0.5639 0.2968 0.1386
Pt: 0.9147 0.7977 0.0623
Pt: 0.5973 0.0954 0.7421
Pt: 0.0645 0.7891 0.6339
Pt: 0.0853 0.2023 0.9377
Pt: 0.4361 0.7032 0.8614
Cu: 0.4183 0.3043 0.5567
Cu: 0.5817 0.6957 0.4433
Rh: 0.8974 0.4005 0.7506
Rh: 0.1026 0.5995 0.2494


A geometry-optimized Cu2PtRh structure. Source: Alexandria, functional PBE.

Summary:
As for the space-group type: Fm-3m, No. 225. Its total energy is -5.3761 eV per atom. The formation energy from the elements is 1.93 kJ/mol of atoms. The calculation puts the magnetic moment at 0.21 μB/atom.

Lattice parameters (Å, degrees): 4.2496 4.2496 4.2496 60.00 60.00 60.00
Atoms (fractional coordinates):
Cu: 0.7500 0.7500 0.7500
Cu: 0.2500 0.2500 0.2500
Rh: 0.0000 0.0000 0.0000
Pt: 0.5000 0.5000 0.5000


A geometry-optimized Cu3PtRh structure. Source: Alexandria, functional PBE.

Summary:
As for the space-group type: Pm-3m, No. 221. Its total energy is -3.9399 eV per atom. The formation energy from the elements is 115.42 kJ/mol of atoms. The calculation puts the magnetic moment at 0.20 μB/atom.

Lattice parameters (Å, degrees): 4.6100 4.6100 4.6100 90.00 90.00 90.00
Atoms (fractional coordinates):
Cu: 0.0000 0.0000 0.5000
Cu: 0.5000 0.0000 0.0000
Cu: 0.0000 0.5000 0.0000
Rh: 0.5000 0.5000 0.5000
Pt: 0.0000 0.0000 0.0000


A geometry-optimized Cu6Pt2Rh structure. Source: Alexandria, functional PBE.

Summary:
As for the space-group type: C2/m, No. 12. Its total energy is -4.8350 eV per atom. The formation energy from the elements is 5.30 kJ/mol of atoms. The calculation puts the magnetic moment at 0.00 μB/atom.

Lattice parameters (Å, degrees): 6.6376 4.5905 4.5905 65.04 76.63 76.63
Atoms (fractional coordinates):
Cu: 0.4990 0.7544 0.7544
Cu: 0.3101 0.7840 0.3021
Cu: 0.5010 0.2456 0.2456
Cu: 0.6899 0.2160 0.6979
Cu: 0.6899 0.6979 0.2160
Cu: 0.3101 0.3021 0.7840
Pt: 0.9258 0.6776 0.6776
Pt: 0.0742 0.3224 0.3224
Rh: 0.0000 0.0000 0.0000


A geometry-optimized Cu2Pt5Rh4 structure. Source: Alexandria, functional PBE.

Summary:
As for the space-group type: C2/m, No. 12. Its total energy is -5.9817 eV per atom. The formation energy from the elements is 17.58 kJ/mol of atoms. The calculation puts the magnetic moment at 0.27 μB/atom.

Lattice parameters (Å, degrees): 5.3009 5.3009 8.0059 63.98 63.98 60.51
Atoms (fractional coordinates):
Pt: 0.3459 0.8384 0.1741
Pt: 0.1616 0.6541 0.8259
Pt: 0.0000 0.0000 0.5000
Pt: 0.8384 0.3459 0.1741
Pt: 0.6541 0.1616 0.8259
Rh: 0.6492 0.6492 0.5038
Rh: 0.3434 0.3434 0.1674
Rh: 0.3508 0.3508 0.4962
Rh: 0.6566 0.6566 0.8326
Cu: 0.8557 0.8557 0.1461
Cu: 0.1443 0.1443 0.8539


A geometry-optimized CuPt4Rh2 structure. Source: Alexandria, functional PBE.

Summary:
As for the space-group type: Cmmm, No. 65. Its total energy is -5.7973 eV per atom. The formation energy from the elements is 32.82 kJ/mol of atoms. The calculation puts the magnetic moment at 0.00 μB/atom.

Lattice parameters (Å, degrees): 8.8497 8.8497 5.4450 90.00 90.00 144.55
Atoms (fractional coordinates):
Cu: 0.5000 0.5000 0.2500
Cu: 0.5000 0.5000 0.7500
Pt: 0.0000 0.5000 0.7500
Pt: 0.6249 0.3751 0.0000
Pt: 0.6249 0.3751 0.5000
Pt: 0.0000 0.5000 0.2500
Pt: 0.5000 0.0000 0.2500
Pt: 0.3751 0.6249 0.0000
Pt: 0.5000 0.0000 0.7500
Pt: 0.3751 0.6249 0.5000
Rh: 0.8647 0.1354 0.0000
Rh: 0.1354 0.8647 0.5000
Rh: 0.8646 0.1353 0.5000
Rh: 0.1353 0.8646 0.0000


A geometry-optimized CuPt6Rh structure. Source: Alexandria, functional PBE.

Summary:
As for the space-group type: C2/m, No. 12. Its total energy is -6.0180 eV per atom. The formation energy from the elements is -5.44 kJ/mol of atoms. The calculation puts the magnetic moment at 0.02 μB/atom.

Lattice parameters (Å, degrees): 3.9410 4.8231 7.3034 77.04 74.35 65.89
Atoms (fractional coordinates):
Cu: 0.0000 0.0000 0.0000
Pt: 0.7504 0.6215 0.8776
Pt: 0.7513 0.1258 0.3717
Pt: 0.4991 0.7546 0.2473
Pt: 0.2487 0.8742 0.6283
Pt: 0.5009 0.2454 0.7527
Pt: 0.2496 0.3785 0.1224
Rh: 0.0000 0.5000 0.5000


A geometry-optimized CuPt9Rh2 structure. Source: Alexandria, functional PBE.

Summary:
As for the space-group type: P4/mmm, No. 123. Its total energy is -6.1525 eV per atom. The formation energy from the elements is -5.34 kJ/mol of atoms. The calculation puts the magnetic moment at 0.00 μB/atom.

Lattice parameters (Å, degrees): 3.9251 3.9251 11.8339 90.00 90.00 90.00
Atoms (fractional coordinates):
Pt: 0.5000 0.0000 0.5000
Pt: 0.0000 0.5000 0.8367
Pt: 0.5000 0.0000 0.8367
Pt: 0.5000 0.5000 0.0000
Pt: 0.5000 0.0000 0.1633
Pt: 0.5000 0.5000 0.6706
Pt: 0.0000 0.5000 0.5000
Pt: 0.5000 0.5000 0.3294
Pt: 0.0000 0.5000 0.1633
Rh: 0.0000 0.0000 0.6644
Rh: 0.0000 0.0000 0.3356
Cu: 0.0000 0.0000 0.0000